ReHIr3 | PBE-GGA | optimized geometry

abc: 4.749 4.749 4.749
angles: 90.00 90.00 90.00
Each line ends with the local moment (μB).
Element x y z (fractional)
Re1 0.000 0.000 0.000  0.05
Ir1 0.000 0.500 0.000  0.05
Ir2 0.000 0.000 0.500  0.06
Ir3 0.500 0.000 0.000  0.03
H1 0.500 0.500 0.500  0.32

Output
As for the density of states at the Fermi level: 4.8 states/eV per cell. As for the total energy: -6.21 eV/atom. As for the space group: Pm-3m, No. 221. The energy above the most stable polymorph in this dataset is 202.3 kJ per mole of atoms.

***

Re2H2Ir | PBE-GGA | optimized geometry

abc: 2.852 2.852 6.453
angles: 77.23 77.23 90.00
Element x y z (fractional)
Re1 0.345 0.345 0.309
Re2 0.655 0.655 0.691
Ir1 0.000 0.000 0.000
H1 0.750 0.250 0.500
H2 0.250 0.750 0.500

Output
As for the density of states at the Fermi level: 3.3 states/eV per cell. As for the total energy: -7.82 eV/atom. As for the space group: I4/mmm, No. 139.

***

Re3HIr | PBE-GGA | optimized geometry

abc: 3.941 3.941 3.941
angles: 90.00 90.00 90.00
Element x y z (fractional)
Re1 0.000 0.500 0.000
Re2 0.000 0.000 0.500
Re3 0.500 0.000 0.000
Ir1 0.500 0.500 0.500
H1 0.000 0.000 0.000

Output
As for the density of states at the Fermi level: 3.2 states/eV per cell. As for the total energy: -9.86 eV/atom. As for the space group: Pm-3m, No. 221. The energy above the most stable polymorph in this dataset is 0.0 kJ per mole of atoms.

***

ReHIr2 | PBE-GGA | optimized geometry

abc: 6.160 6.160 5.052
angles: 52.44 52.44 90.00
Element x y z (fractional)
Re1 0.000 0.000 0.000
Re2 0.750 0.250 0.500
Ir1 0.526 0.125 0.250
Ir2 0.224 0.625 0.250
Ir3 0.375 0.474 0.750
Ir4 0.875 0.776 0.750
H1 0.500 0.500 0.000
H2 0.250 0.750 0.500

Output
As for the density of states at the Fermi level: 2.7 states/eV per cell. As for the total energy: -8.05 eV/atom. As for the space group: I-42d, No. 122. The energy above the most stable polymorph in this dataset is 0.0 kJ per mole of atoms.

***

ReHIr3 | PBE-GGA | optimized geometry

abc: 3.935 3.935 3.935
angles: 90.00 90.00 90.00
Element x y z (fractional)
Re1 0.500 0.500 0.500
Ir1 0.000 0.500 0.000
Ir2 0.000 0.000 0.500
Ir3 0.500 0.000 0.000
H1 0.000 0.000 0.000

Output
As for the density of states at the Fermi level: 5.2 states/eV per cell. As for the total energy: -8.31 eV/atom. As for the space group: Pm-3m, No. 221. The energy above the most stable polymorph in this dataset is 0.0 kJ per mole of atoms.

***

Re3HIr | PBE-GGA | optimized geometry

abc: 4.758 4.758 4.758
angles: 90.00 90.00 90.00
Each line ends with the local moment (μB).
Element x y z (fractional)
Re1 0.000 0.500 0.000  0.97
Re2 0.000 0.000 0.500  1.00
Re3 0.500 0.000 0.000  0.84
Ir1 0.000 0.000 0.000  -0.03
H1 0.500 0.500 0.500  0.20

Output
As for the density of states at the Fermi level: 5.5 states/eV per cell. As for the total energy: -6.99 eV/atom. As for the space group: Pm-3m, No. 221. The energy above the most stable polymorph in this dataset is 276.7 kJ per mole of atoms.

***

The lowest total energy belongs to which entry? number 3

***

Which of these has the lowest total energy? number 3

***

What did the sixth record say?
Re3HIr | PBE-GGA | optimized geometry

abc: 4.758 4.758 4.758
angles: 90.00 90.00 90.00
Each line ends with the local moment (μB).
Element x y z (fractional)
Re1 0.000 0.500 0.000  0.97
Re2 0.000 0.000 0.500  1.00
Re3 0.500 0.000 0.000  0.84
Ir1 0.000 0.000 0.000  -0.03
H1 0.500 0.500 0.500  0.20

Output
As for the density of states at the Fermi level: 5.5 states/eV per cell. As for the total energy: -6.99 eV/atom. As for the space group: Pm-3m, No. 221. The energy above the most stable polymorph in this dataset is 276.7 kJ per mole of atoms.

***

What did the fifth record say?
ReHIr3 | PBE-GGA | optimized geometry

abc: 3.935 3.935 3.935
angles: 90.00 90.00 90.00
Element x y z (fractional)
Re1 0.500 0.500 0.500
Ir1 0.000 0.500 0.000
Ir2 0.000 0.000 0.500
Ir3 0.500 0.000 0.000
H1 0.000 0.000 0.000

Output
As for the density of states at the Fermi level: 5.2 states/eV per cell. As for the total energy: -8.31 eV/atom. As for the space group: Pm-3m, No. 221. The energy above the most stable polymorph in this dataset is 0.0 kJ per mole of atoms.